! NaAcInGe PBE relaxed; values from VASP
&SYSTEM
  ibrav = 0, nat = 4, ntyp = 4
/
ATOMIC_SPECIES
Ac 227.00 Ac.upf
Ge 72.64 Ge.upf
In 114.82 In.upf
Na 22.99 Na.upf
CELL_PARAMETERS angstrom
-5.3316 0.2704 -1.1481
-2.4295 -4.0981 -2.6684
-3.5240 -3.2507 2.6138
ATOMIC_POSITIONS crystal
Ac 0.7500 0.7500 0.7500
Ge 0.0000 0.0000 0.0000
In 0.5000 0.5000 0.5000
Na 0.2500 0.2500 0.2500
! Energy of formation, meV per atom: -259
! Magnetization, μB per formula unit: 0.0
! V, Å³/f.u.: 115